No. 1
First-principles (PBE) data for a relaxed structure of GdTmFe2Si2, as listed in OQMD.

Cell and atoms, written as POSCAR:
```
GdTmFe2Si2
1.0
4.029 0.000 0.000
0.000 4.029 0.000
0.000 0.000 6.462
Si Fe Gd Tm
2 2 1 1
direct
0.000 0.000 0.817
0.500 0.500 0.178
0.500 0.000 0.997
0.000 0.500 0.997
0.000 0.000 0.321
0.500 0.500 0.689
```

Values from the calculation:
- Symmetry: P4mm, No. 99
- Total energy: -0.2476 hartree per atom

No. 2
First-principles (PBE) data for a relaxed structure of Pr2Dy2CI4Cl, as listed in OQMD.

Cell and atoms, written as POSCAR:
```
Pr2Dy2CI4Cl
1.0
-1.091 -6.879 6.809
-1.803 -8.910 3.497
8.311 -0.334 -1.583
I Cl Pr C Dy
4 1 2 1 2
direct
0.166 0.166 0.799
0.160 0.160 0.363
0.840 0.840 0.637
0.834 0.834 0.201
0.500 0.500 0.500
0.637 0.637 0.069
0.363 0.363 0.931
0.500 0.500 0.000
0.001 0.001 0.802
0.999 0.999 0.198
```

Values from the calculation:
- Polymorph energy (0 for the lowest one): 0.041 eV/atom
- Symmetry: C2/m, No. 12
- Total energy: -0.1753 hartree per atom

No. 3
First-principles (PBE) data for a relaxed structure of PmPd, as listed in OQMD.

Cell and atoms, written as POSCAR:
```
PmPd
1.0
-1.420 0.084 3.226
-1.811 -1.388 -2.688
1.700 -3.862 0.849
Pd Pm
1 1
direct
0.667 0.333 0.750
0.333 0.667 0.250
```

Values from the calculation:
- Energy of formation: -468 meV/atom
- Symmetry: P-6m2, No. 187
- Total energy: -0.1995 hartree per atom

No. 4
First-principles (PBE) data for a relaxed structure of LiYGaNi, as listed in OQMD.

Cell and atoms, written as POSCAR:
```
LiYGaNi
1.0
0.000 3.196 3.196
3.196 0.000 3.196
3.196 3.196 0.000
Li Ni Ga Y
1 1 1 1
direct
0.250 0.250 0.250
0.750 0.750 0.750
0.000 0.000 0.000
0.500 0.500 0.500
```

Values from the calculation:
- Symmetry: F-43m, No. 216
- Total energy: -0.1704 hartree per atom

No. 5
First-principles (PBE) data for a relaxed structure of Hf2ZrAg, as listed in OQMD.

Cell and atoms, written as POSCAR:
```
Hf2ZrAg
1.0
3.923 -1.867 2.244
0.517 0.497 4.837
-0.477 -3.891 2.922
Zr Hf Ag
1 2 1
direct
0.000 0.000 0.000
0.500 0.500 0.500
0.250 0.250 0.250
0.750 0.750 0.750
```

Values from the calculation:
- Energy of formation: 166 meV/atom
- Symmetry: F-43m, No. 216
- Total energy: -0.2813 hartree per atom

No. 6
First-principles (PBE) data for a relaxed structure of MgAgSeO, as listed in OQMD.

Cell and atoms, written as POSCAR:
```
MgAgSeO
1.0
6.392 0.000 0.000
0.000 8.280 0.000
0.000 0.000 5.375
Se Mg Ag O
4 4 4 4
direct
0.934 0.354 0.586
0.066 0.646 0.086
0.434 0.646 0.586
0.566 0.354 0.086
0.886 0.936 0.973
0.614 0.936 0.473
0.386 0.064 0.973
0.114 0.064 0.473
0.507 0.333 0.580
0.493 0.667 0.080
0.007 0.667 0.580
0.993 0.333 0.080
0.607 0.932 0.112
0.393 0.068 0.612
0.107 0.068 0.112
0.893 0.932 0.612
```

Values from the calculation:
- Polymorph energy (0 for the lowest one): 0.000 eV/atom
- Symmetry: Pca2_1, No. 29
- Total energy: -0.1594 hartree per atom